First-principles (GGA-PBE) data for Li2FeIr after structural relaxation, as listed in Alexandria.

Values from the calculation:
total DFT energy (no corrections)	-5.237	eV per atom
ΔH_f (0 K)	0.051	eV per atom

Lattice parameters (Å, degrees): 2.595 2.595 9.039 90.00 90.00 116.48
Positions (direct):
Li (0.000, 0.000, 0.242)
Li (0.000, 0.000, 0.758)
Fe (0.500, 0.500, 0.500)
Ir (0.500, 0.500, 0.000)

First-principles (GGA-PBE) data for Li2FeIr after structural relaxation, as listed in Alexandria.

Values from the calculation:
total DFT energy (no corrections)	-5.325	eV per atom
ΔH_f (0 K)	-0.037	eV per atom

Lattice parameters (Å, degrees): 5.107 5.107 5.107 148.49 130.85 59.56
Positions (direct):
Li (0.250, 0.250, 0.000)
Li (0.750, 0.750, 0.000)
Fe (0.500, 0.000, 0.500)
Ir (0.000, 0.500, 0.500)

Question: What is the ΔH_f (0 K) in the second record?
Answer: -0.037 eV per atom